No. 1
Below is Na4Sm3RuO8 after structural relaxation, with properties calculated at the PBE-GGA level.

Structure (POSCAR):
```
Na4Sm3RuO8
1.0
-3.4758 -1.2109 -5.7227
5.4026 -3.3452 -2.5735
-2.5819 -1.8727 6.0094
Na Sm Ru O
4 3 1 8
direct
0.5000 0.0000 0.0000
0.5000 0.0000 0.5000
0.0000 0.0000 0.0000
0.0000 0.0000 0.5000
0.5000 0.5000 0.0000
0.5000 0.5000 0.5000
0.0000 0.5000 0.5000
0.0000 0.5000 0.0000
0.2293 0.7165 0.9873
0.2295 0.7167 0.4589
0.2605 0.2815 0.5210
0.7580 0.7165 0.9873
0.2420 0.2835 0.0127
0.7395 0.7185 0.4790
0.7705 0.2833 0.5411
0.7707 0.2835 0.0127
```

Calculated values
Raw formation energy = -2.202 eV per atom
Size of the total moment = 1.01 Bohr magnetons per cell
Uncorrected energy = -0.4759 Ry/atom
Space group = R-3m

=====

No. 2
Below is NaSm2RuO6 after structural relaxation, with properties calculated at the PBE-GGA level.

Structure (POSCAR):
```
NaSm2RuO6
1.0
5.5001 0.0000 0.0415
0.0000 5.9292 0.0000
0.1078 0.0000 7.9820
Na Sm Ru O
2 4 2 12
direct
0.5000 0.0000 0.0000
0.0000 0.5000 0.5000
0.0237 0.9270 0.2554
0.5237 0.5730 0.7554
0.9763 0.0730 0.7446
0.4763 0.4270 0.2446
0.5000 0.0000 0.5000
0.0000 0.5000 0.0000
0.2943 0.6731 0.0542
0.7943 0.8269 0.5542
0.7057 0.3269 0.9458
0.2057 0.1731 0.4458
0.3370 0.7185 0.4230
0.8370 0.7815 0.9230
0.6630 0.2815 0.5770
0.1630 0.2185 0.0770
0.8695 0.5589 0.2292
0.3695 0.9411 0.7292
0.1305 0.4411 0.7708
0.6305 0.0589 0.2708
```

Calculated values
Raw formation energy = -2.329 eV per atom
Size of the total moment = 6.00 Bohr magnetons per cell
Uncorrected energy = -0.5371 Ry/atom
Space group = P2_1/c

=====

No. 3
Below is NaSm2RuO5 after structural relaxation, with properties calculated at the PBE-GGA level.

Structure (POSCAR):
```
NaSm2RuO5
1.0
-5.6020 0.8337 1.1587
0.7452 -3.1866 5.8956
1.4890 5.8624 2.9805
Na Sm Ru O
2 4 2 10
direct
0.0000 0.5000 0.5000
0.0000 0.0000 0.0000
0.5000 0.6769 0.1769
0.5000 0.1769 0.3231
0.5000 0.8231 0.6769
0.5000 0.3231 0.8231
0.0000 0.0000 0.5000
0.0000 0.5000 0.0000
0.5000 0.5000 0.5000
0.5000 0.0000 0.0000
0.2503 0.1361 0.6361
0.2503 0.8639 0.3639
0.2503 0.3639 0.1361
0.2503 0.6361 0.8639
0.7497 0.1361 0.6361
0.7497 0.6361 0.8639
0.7497 0.8639 0.3639
0.7497 0.3639 0.1361
```

Calculated values
Raw formation energy = -2.281 eV per atom
Size of the total moment = 6.00 Bohr magnetons per cell
Uncorrected energy = -0.5337 Ry/atom
Space group = P4/mbm

=====

No. 4
Below is Na2SnRuO6 after structural relaxation, with properties calculated at the PBE-GGA level.

Structure (POSCAR):
```
Na2SnRuO6
1.0
3.9951 0.0000 0.0000
0.0000 5.6255 0.0000
0.0000 0.0000 5.6255
Na Sn Ru O
2 1 1 6
direct
0.1094 0.5000 0.0000
0.1094 0.0000 0.5000
0.6436 0.5000 0.5000
0.6224 0.0000 0.0000
0.6631 0.2394 0.2394
0.6631 0.2394 0.7606
0.1464 0.5000 0.5000
0.1633 0.0000 0.0000
0.6631 0.7606 0.7606
0.6631 0.7606 0.2394
```

Calculated values
Raw formation energy = -1.219 eV per atom
Size of the total moment = 2.02 Bohr magnetons per cell
Uncorrected energy = -0.4252 Ry/atom
Space group = P4mm

=====

No. 5
Below is NaSrRu2O7 after structural relaxation, with properties calculated at the PBE-GGA level.

Structure (POSCAR):
```
NaSrRu2O7
1.0
-0.3601 0.3689 -3.8335
2.8668 -2.5454 -0.5143
-8.1748 -6.6873 2.0757
Na Sr Ru O
1 1 2 7
direct
0.2500 0.7500 0.5000
0.5000 0.5000 0.0000
0.8978 0.8978 0.7956
0.1022 0.1022 0.2044
0.0924 0.5924 0.1848
0.0000 0.0000 0.0000
0.4076 0.9076 0.8152
0.8109 0.8109 0.6219
0.5911 0.0911 0.1822
0.1891 0.1891 0.3781
0.9089 0.4089 0.8178
```

Calculated values
Raw formation energy = -1.318 eV per atom
Size of the total moment = 4.05 Bohr magnetons per cell
Uncorrected energy = -0.4728 Ry/atom
Space group = I-4m2

=====

No. 6
Below is NaSrRu2O8 after structural relaxation, with properties calculated at the PBE-GGA level.

Structure (POSCAR):
```
NaSrRu2O8
1.0
-4.9368 -1.2742 -1.8431
-1.2598 -2.1095 4.8328
1.0095 7.1355 0.3368
Na Sr Ru O
1 1 2 8
direct
0.7500 0.2500 0.5000
0.0000 0.0000 0.0000
0.5000 0.5000 0.0000
0.2500 0.7500 0.5000
0.7105 0.8212 0.1568
0.4463 0.3356 0.1568
0.5686 0.6967 0.6599
0.0913 0.9632 0.6599
0.0368 0.4314 0.3401
0.3033 0.9087 0.3401
0.1788 0.5537 0.8432
0.6644 0.2895 0.8432
```

Calculated values
Raw formation energy = -1.322 eV per atom
Size of the total moment = 3.03 Bohr magnetons per cell
Uncorrected energy = -0.4721 Ry/atom
Space group = I-4